A plane-wave DFT calculation with meta-GGA SCAN was carried out for a PBEsol-optimized structure of Sc5In4.

Its formation energy is -0.5543 eV/atom. The calculation puts the total energy at -23.30 eV/atom. For the density of states at the Fermi level, the calculation gives 0.782 states/eV/atom.

Lattice parameters (Å, degrees): 8.6573 8.6573 6.1353 90.00 90.00 120.00
Positions (direct):
1 Sc 0.0000 0.2947 0.2500
2 Sc 0.0000 0.7053 0.7500
3 Sc 0.2947 0.0000 0.2500
4 Sc 0.2947 0.2947 0.7500
5 Sc 0.3333 0.6667 0.0000
6 Sc 0.3333 0.6667 0.5000
7 Sc 0.6667 0.3333 0.0000
8 Sc 0.6667 0.3333 0.5000
9 Sc 0.7053 0.0000 0.7500
10 Sc 0.7053 0.7053 0.2500
11 In 0.0000 0.0000 0.0000
12 In 0.0000 0.0000 0.5000
13 In 0.0000 0.3704 0.7500
14 In 0.0000 0.6296 0.2500
15 In 0.3704 0.0000 0.7500
16 In 0.3704 0.3704 0.2500
17 In 0.6296 0.0000 0.2500
18 In 0.6296 0.6296 0.7500

A plane-wave DFT calculation with meta-GGA SCAN was carried out for a PBEsol-optimized structure of ScIn.

Its formation energy is -0.6001 eV/atom. The calculation puts the total energy at -24.41 eV/atom. For the density of states at the Fermi level, the calculation gives 0.546 states/eV/atom.

Lattice parameters (Å, degrees): 3.1736 3.1736 4.2564 90.00 90.00 90.00
Positions (direct):
1 Sc 0.0000 0.0000 0.0000
2 In 0.5000 0.5000 0.5000

A plane-wave DFT calculation with meta-GGA SCAN was carried out for a PBEsol-optimized structure of Sc3In.

Its formation energy is -0.3398 eV/atom. The calculation puts the total energy at -19.36 eV/atom. For the density of states at the Fermi level, the calculation gives 0.747 states/eV/atom.

Lattice parameters (Å, degrees): 5.9516 5.9516 5.9516 144.33 132.29 60.97
Positions (direct):
1 Sc 0.0000 0.0000 0.0000
2 Sc 0.2678 0.7678 0.5000
3 Sc 0.7322 0.2322 0.5000
4 In 0.5000 0.5000 0.0000